Computed, not measured: Nd5ErTl after structural relaxation at the GGA-PBE level of DFT.

Crystal system: tetragonal
Energy relative to the elements: 0.165 eV per atom

Geometry as CIF:
```
data_Nd5ErTl
_space_group_name_H-M_alt 'P 4/m m m'
_space_group_IT_number 123
_space_group_name_Hall '-P 4 2'
_cell_length_a 4.855
_cell_length_b 4.855
_cell_length_c 10.400
_cell_angle_alpha 90.00
_cell_angle_beta 90.00
_cell_angle_gamma 90.00
loop_
_atom_site_label
_atom_site_type_symbol
_atom_site_fract_x
_atom_site_fract_y
_atom_site_fract_z
_atom_site_occupancy
Nd1 Nd 0.000 0.000 0.000 1
Nd2 Nd 0.000 0.500 0.246 1
Er1 Er 0.500 0.500 0.500 1
Tl1 Tl 0.500 0.500 0.000 1
```

***

Computed, not measured: NaCaInPb after structural relaxation at the GGA-PBE level of DFT.

Crystal system: cubic
Offset from the most stable computed form: 0.0035 eV per atom
Energy relative to the elements: -0.310 eV per atom

Geometry as CIF:
```
data_NaCaInPb
_space_group_name_H-M_alt 'F -4 3 m'
_space_group_IT_number 216
_space_group_name_Hall 'F -4 2 3'
_cell_length_a 7.712
_cell_length_b 7.712
_cell_length_c 7.712
_cell_angle_alpha 90.00
_cell_angle_beta 90.00
_cell_angle_gamma 90.00
loop_
_atom_site_label
_atom_site_type_symbol
_atom_site_fract_x
_atom_site_fract_y
_atom_site_fract_z
_atom_site_occupancy
Na1 Na 0.000 0.000 0.000 1
Ca1 Ca 0.000 0.000 0.500 1
In1 In 0.250 0.250 0.250 1
Pb1 Pb 0.250 0.250 0.750 1
```

***

Computed, not measured: AlC2 after structural relaxation at the GGA-PBE level of DFT.

Crystal system: orthorhombic
Offset from the most stable computed form: 0.8965 eV per atom
Energy relative to the elements: 1.184 eV per atom

Geometry as CIF:
```
data_AlC2
_space_group_name_H-M_alt 'C m m m'
_space_group_IT_number 65
_space_group_name_Hall '-C 2 2'
_cell_length_a 2.594
_cell_length_b 13.290
_cell_length_c 2.818
_cell_angle_alpha 90.00
_cell_angle_beta 90.00
_cell_angle_gamma 90.00
loop_
_atom_site_label
_atom_site_type_symbol
_atom_site_fract_x
_atom_site_fract_y
_atom_site_fract_z
_atom_site_occupancy
Al1 Al 0.000 0.121 0.000 1
C1 C 0.000 0.000 0.500 1
C2 C 0.000 0.281 0.500 1
C3 C 0.000 0.500 0.000 1
```

***

Computed, not measured: Zn4Cd3Au2 after structural relaxation at the GGA-PBE level of DFT.

Crystal system: monoclinic
Offset from the most stable computed form: 0.0049 eV per atom
Energy relative to the elements: -0.063 eV per atom

Geometry as CIF:
```
data_Zn4Cd3Au2
_space_group_name_H-M_alt 'C 1 2/m 1'
_space_group_IT_number 12
_cell_length_a 9.158
_cell_length_b 4.417
_cell_length_c 8.485
_cell_angle_alpha 90.00
_cell_angle_beta 101.59
_cell_angle_gamma 90.00
loop_
_space_group_symop_operation_xyz
'x,y,z'
'-x,-y,-z'
'-x,y,-z'
'x,-y,z'
'x+1/2,y+1/2,z'
'-x+1/2,-y+1/2,-z'
'-x+1/2,y+1/2,-z'
'x+1/2,-y+1/2,z'
loop_
_atom_site_label
_atom_site_type_symbol
_atom_site_fract_x
_atom_site_fract_y
_atom_site_fract_z
_atom_site_occupancy
Zn1 Zn 0.079 0.000 0.154 1
Zn2 Zn 0.189 0.500 0.560 1
Cd1 Cd 0.000 0.000 0.500 1
Cd2 Cd 0.114 0.500 0.892 1
Au1 Au 0.237 0.500 0.245 1
```

***

Computed, not measured: MgMnAl2 after structural relaxation at the GGA-PBE level of DFT.

Crystal system: orthorhombic
Energy relative to the elements: -0.010 eV per atom

Geometry as CIF:
```
data_MgMnAl2
_space_group_name_H-M_alt 'C m m m'
_space_group_IT_number 65
_space_group_name_Hall '-C 2 2'
_cell_length_a 5.575
_cell_length_b 8.053
_cell_length_c 2.825
_cell_angle_alpha 90.00
_cell_angle_beta 90.00
_cell_angle_gamma 90.00
loop_
_atom_site_label
_atom_site_type_symbol
_atom_site_fract_x
_atom_site_fract_y
_atom_site_fract_z
_atom_site_occupancy
Mg1 Mg 0.000 0.000 0.000 1
Mn1 Mn 0.000 0.500 0.000 1
Al1 Al 0.250 0.250 0.500 1
```

***

Computed, not measured: AlHRh2Au after structural relaxation at the GGA-PBE level of DFT.

Crystal system: tetragonal
Offset from the most stable computed form: 0.0307 eV per atom

Geometry as CIF:
```
data_AlHRh2Au
_space_group_name_H-M_alt 'P 4/m m m'
_space_group_IT_number 123
_space_group_name_Hall '-P 4 2'
_cell_length_a 3.933
_cell_length_b 3.933
_cell_length_c 4.011
_cell_angle_alpha 90.00
_cell_angle_beta 90.00
_cell_angle_gamma 90.00
loop_
_atom_site_label
_atom_site_type_symbol
_atom_site_fract_x
_atom_site_fract_y
_atom_site_fract_z
_atom_site_occupancy
Al1 Al 0.000 0.000 0.000 1
H1 H 0.000 0.000 0.500 1
Rh1 Rh 0.000 0.500 0.500 1
Au1 Au 0.500 0.500 0.000 1
```

***

Computed, not measured: AlBiAu2 after structural relaxation at the GGA-PBE level of DFT.

Crystal system: tetragonal
Offset from the most stable computed form: 0.0312 eV per atom
Energy relative to the elements: -0.139 eV per atom

Geometry as CIF:
```
data_AlBiAu2
_space_group_name_H-M_alt 'P 4/m m m'
_space_group_IT_number 123
_space_group_name_Hall '-P 4 2'
_cell_length_a 3.231
_cell_length_b 3.231
_cell_length_c 7.857
_cell_angle_alpha 90.00
_cell_angle_beta 90.00
_cell_angle_gamma 90.00
loop_
_atom_site_label
_atom_site_type_symbol
_atom_site_fract_x
_atom_site_fract_y
_atom_site_fract_z
_atom_site_occupancy
Al1 Al 0.000 0.000 0.000 1
Bi1 Bi 0.000 0.000 0.500 1
Au1 Au 0.500 0.500 0.192 1
```

***

Computed, not measured: FeNi3H after structural relaxation at the GGA-PBE level of DFT.

Crystal system: cubic
Offset from the most stable computed form: 0.0103 eV per atom

Geometry as CIF:
```
data_FeNi3H
_space_group_name_H-M_alt 'P m -3 m'
_space_group_IT_number 221
_space_group_name_Hall '-P 4 2 3'
_cell_length_a 3.607
_cell_length_b 3.607
_cell_length_c 3.607
_cell_angle_alpha 90.00
_cell_angle_beta 90.00
_cell_angle_gamma 90.00
loop_
_atom_site_label
_atom_site_type_symbol
_atom_site_fract_x
_atom_site_fract_y
_atom_site_fract_z
_atom_site_occupancy
Fe1 Fe 0.000 0.000 0.000 1
Ni1 Ni 0.000 0.500 0.500 1
H1 H 0.500 0.500 0.500 1
```

***

Computed, not measured: Pm7Ho2Sc after structural relaxation at the GGA-PBE level of DFT.

Crystal system: orthorhombic
Energy relative to the elements: 0.664 eV per atom

Geometry as CIF:
```
data_Pm7Ho2Sc
_space_group_name_H-M_alt 'C m m m'
_space_group_IT_number 65
_space_group_name_Hall '-C 2 2'
_cell_length_a 8.809
_cell_length_b 17.059
_cell_length_c 5.304
_cell_angle_alpha 90.00
_cell_angle_beta 90.00
_cell_angle_gamma 90.00
loop_
_atom_site_label
_atom_site_type_symbol
_atom_site_fract_x
_atom_site_fract_y
_atom_site_fract_z
_atom_site_occupancy
Pm1 Pm 0.000 0.000 0.000 1
Pm2 Pm 0.000 0.302 0.500 1
Pm3 Pm 0.179 0.393 0.000 1
Ho1 Ho 0.000 0.204 0.000 1
Sc1 Sc 0.000 0.500 0.500 1
```

***

Computed, not measured: Ce2NdMg after structural relaxation at the GGA-PBE level of DFT.

Crystal system: tetragonal
Offset from the most stable computed form: 0.0000 eV per atom
Energy relative to the elements: 0.100 eV per atom

Geometry as CIF:
```
data_Ce2NdMg
_space_group_name_H-M_alt 'P 4/m m m'
_space_group_IT_number 123
_space_group_name_Hall '-P 4 2'
_cell_length_a 4.787
_cell_length_b 4.787
_cell_length_c 5.114
_cell_angle_alpha 90.00
_cell_angle_beta 90.00
_cell_angle_gamma 90.00
loop_
_atom_site_label
_atom_site_type_symbol
_atom_site_fract_x
_atom_site_fract_y
_atom_site_fract_z
_atom_site_occupancy
Ce1 Ce 0.000 0.500 0.000 1
Nd1 Nd 0.000 0.000 0.500 1
Mg1 Mg 0.500 0.500 0.500 1
```

***

Computed, not measured: TiBi2Mo after structural relaxation at the GGA-PBE level of DFT.

Crystal system: cubic
Offset from the most stable computed form: 0.0000 eV per atom
Energy relative to the elements: 0.346 eV per atom

Geometry as CIF:
```
data_TiBi2Mo
_space_group_name_H-M_alt 'F m -3 m'
_space_group_IT_number 225
_space_group_name_Hall '-F 4 2 3'
_cell_length_a 6.940
_cell_length_b 6.940
_cell_length_c 6.940
_cell_angle_alpha 90.00
_cell_angle_beta 90.00
_cell_angle_gamma 90.00
loop_
_atom_site_label
_atom_site_type_symbol
_atom_site_fract_x
_atom_site_fract_y
_atom_site_fract_z
_atom_site_occupancy
Ti1 Ti 0.000 0.000 0.000 1
Bi1 Bi 0.250 0.250 0.250 1
Mo1 Mo 0.000 0.000 0.500 1
```

***

Computed, not measured: Ca2Bi2Rh3 after structural relaxation at the GGA-PBE level of DFT.

Crystal system: monoclinic
Offset from the most stable computed form: 0.0000 eV per atom
Energy relative to the elements: -0.407 eV per atom

Geometry as CIF:
```
data_Ca2Bi2Rh3
_space_group_name_H-M_alt 'C 1 2/m 1'
_space_group_IT_number 12
_cell_length_a 12.205
_cell_length_b 3.781
_cell_length_c 7.479
_cell_angle_alpha 90.00
_cell_angle_beta 114.75
_cell_angle_gamma 90.00
loop_
_space_group_symop_operation_xyz
'x,y,z'
'-x,-y,-z'
'-x,y,-z'
'x,-y,z'
'x+1/2,y+1/2,z'
'-x+1/2,-y+1/2,-z'
'-x+1/2,y+1/2,-z'
'x+1/2,-y+1/2,z'
loop_
_atom_site_label
_atom_site_type_symbol
_atom_site_fract_x
_atom_site_fract_y
_atom_site_fract_z
_atom_site_occupancy
Ca1 Ca 0.100 0.000 0.266 1
Bi1 Bi 0.171 0.000 0.744 1
Rh1 Rh 0.000 0.500 0.500 1
Rh2 Rh 0.103 0.500 0.941 1
```

***

no.,total magnetization (μB/f.u.),E_tot (eV/atom)
1,0.000,-4.23
2,0.000,-2.75
3,0.000,-6.21
4,0.000,-1.66
5,2.714,-4.57
6,0.000,-5.25
7,0.000,-3.68
8,4.722,-5.88
9,0.002,-4.21
10,1.960,-4.46
11,0.002,-6.28
12,0.000,-5.24